Record 1
The following is a DFT calculation (GGA-PBE) of a geometry-optimized Ca2AlRuO structure.

## Properties
- raw formation energy (eV/atom) = 0.47
- magnetization (μB/f.u.) = 1.308
- SG = P4/mmm (123)

Cell lengths 5.6600, 5.6600, 4.3591 Å; angles 90.00, 90.00, 90.00 degrees
Sites, in units of the cell vectors:
Ca 0.0000 0.5000 0.0000
Ca 0.5000 0.0000 0.0000
Al 0.0000 0.0000 0.0000
Ru 0.0000 0.0000 0.5000
O 0.5000 0.5000 0.5000

=====

Record 2
The following is a DFT calculation (GGA-PBE) of a geometry-optimized ScSbC3 structure.

## Properties
- offset from the most stable computed form (meV/atom) = 95
- raw formation energy (eV/atom) = 2.21
- magnetization (μB/f.u.) = 0.000
- SG = Pm-3m (221)

Cell lengths 4.2524, 4.2524, 4.2524 Å; angles 90.00, 90.00, 90.00 degrees
Sites, in units of the cell vectors:
Sc 0.0000 0.0000 0.0000
Sb 0.5000 0.5000 0.5000
C 0.0000 0.0000 0.5000
C 0.0000 0.5000 0.0000
C 0.5000 0.0000 0.0000

=====

Record 3
The following is a DFT calculation (GGA-PBE) of a geometry-optimized Nd2Ho3ErS6 structure.

## Properties
- raw formation energy (eV/atom) = -1.99
- magnetization (μB/f.u.) = 0.000
- SG = C2/m (12)

Cell lengths 8.8176, 8.8176, 7.9471 Å; angles 103.34, 103.34, 25.70 degrees
Sites, in units of the cell vectors:
Nd 0.1677 0.1677 0.3357
Nd 0.8323 0.8323 0.6643
Ho 0.1693 0.1693 0.8332
Ho 0.5000 0.5000 0.5000
Ho 0.8307 0.8307 0.1668
Er 0.5000 0.5000 0.0000
S 0.0045 0.0045 0.7541
S 0.3352 0.3352 0.9291
S 0.3377 0.3377 0.4068
S 0.6623 0.6623 0.5932
S 0.6648 0.6648 0.0709
S 0.9955 0.9955 0.2459